! MgPdPt2, optimized geometry, DFT PBE; values from VASP
&SYSTEM
  ibrav = 0, nat = 8, ntyp = 3
/
ATOMIC_SPECIES
Mg 24.30 Mg.upf
Pd 106.42 Pd.upf
Pt 195.08 Pt.upf
CELL_PARAMETERS angstrom
-1.904 1.904 9.457
1.904 -1.904 9.457
1.904 1.904 -9.457
ATOMIC_POSITIONS crystal
Mg 0.000 0.000 0.000
Mg 0.750 0.250 0.500
Pd 0.250 0.750 0.500
Pd 0.500 0.500 0.000
Pt 0.127 0.625 0.002
Pt 0.375 0.377 0.502
Pt 0.623 0.125 0.998
Pt 0.875 0.873 0.498
! Mass density   12.616 g cm⁻³
! ΔH_f (0 K)   -227 meV per atom
! Magnetization   0.000 μB per atom